Record 1
Density functional theory data (PBE) for an optimized crystal structure of Nb3CuBr.

Computed properties:
The value obtained for the total energy is -6.542 eV/atom.

Unit cell a=5.5715 b=5.5715 c=5.5715 alpha=91.64 beta=91.64 gamma=91.64
Fractional coordinates of all 10 atoms:
1 Nb 0.0000 0.3512 0.6488
2 Nb 0.1488 0.8512 0.5000
3 Nb 0.3512 0.6488 0.0000
4 Nb 0.5000 0.1488 0.8512
5 Nb 0.6488 0.0000 0.3512
6 Nb 0.8512 0.5000 0.1488
7 Cu 0.0008 0.0008 0.0008
8 Cu 0.5008 0.5008 0.5008
9 Br 0.2512 0.2512 0.2512
10 Br 0.7512 0.7512 0.7512


Record 2
Density functional theory data (PBE) for an optimized crystal structure of CuNiBr6.

Computed properties:
The value obtained for the total energy is -2.520 eV/atom.

Unit cell a=6.3765 b=6.3808 c=6.6609 alpha=61.41 beta=61.54 gamma=60.05
Fractional coordinates of all 8 atoms:
1 Cu 0.0000 0.0000 0.0000
2 Ni 0.5000 0.5000 0.5000
3 Br 0.1081 0.4061 0.7459
4 Br 0.2596 0.8927 0.2539
5 Br 0.4066 0.7399 0.7457
6 Br 0.5934 0.2601 0.2543
7 Br 0.7404 0.1073 0.7461
8 Br 0.8919 0.5939 0.2541


Record 3
Density functional theory data (PBE) for an optimized crystal structure of Cu6PS5Br.

Computed properties:
The offset from the most stable computed form comes out at 0.000 eV per formula unit.

Unit cell a=6.8291 b=6.8291 c=11.9298 alpha=106.63 beta=106.63 gamma=60.14
Fractional coordinates of all 26 atoms:
1 Cu 0.0182 0.9818 0.5000
2 Cu 0.1125 0.2108 0.7259
3 Cu 0.2108 0.1125 0.2259
4 Cu 0.3337 0.6325 0.7248
5 Cu 0.4517 0.5184 0.5050
6 Cu 0.4777 0.9445 0.4947
7 Cu 0.5184 0.4517 0.0050
8 Cu 0.6325 0.3337 0.2248
9 Cu 0.7066 0.8580 0.7229
10 Cu 0.8580 0.7066 0.2229
11 Cu 0.9445 0.4777 0.9947
12 Cu 0.9818 0.0182 0.0000
13 P 0.4795 0.9783 0.9875
14 P 0.9783 0.4795 0.4875
15 S 0.0364 0.5427 0.6726
16 S 0.2800 0.2856 0.9242
17 S 0.2856 0.2800 0.4242
18 S 0.3091 0.7770 0.9243
19 S 0.3577 0.8633 0.6263
20 S 0.5427 0.0364 0.1726
21 S 0.7770 0.3091 0.4243
22 S 0.7843 0.8089 0.9218
23 S 0.8089 0.7843 0.4218
24 S 0.8633 0.3577 0.1263
25 Br 0.2338 0.7269 0.2391
26 Br 0.7269 0.2338 0.7391


Record 4
Density functional theory data (PBE) for an optimized crystal structure of CuP4S3Br.

Computed properties:
The value obtained for the total energy is -4.594 eV/atom.

Unit cell a=11.8035 b=11.8035 c=10.3455 alpha=90.00 beta=90.00 gamma=141.57
Fractional coordinates of all 36 atoms:
1 Cu 0.1921 0.1921 0.0000
2 Cu 0.3079 0.3079 0.5000
3 Cu 0.6921 0.6921 0.5000
4 Cu 0.8079 0.8079 0.0000
5 P 0.0628 0.2259 0.4584
6 P 0.1185 0.8815 0.7164
7 P 0.2157 0.7843 0.4709
8 P 0.2259 0.0628 0.5416
9 P 0.2741 0.4372 0.0416
10 P 0.2843 0.7157 0.9709
11 P 0.3815 0.6185 0.2164
12 P 0.4372 0.2741 0.9584
13 P 0.5628 0.7259 0.0416
14 P 0.6185 0.3815 0.7836
15 P 0.7157 0.2843 0.0291
16 P 0.7259 0.5628 0.9584
17 P 0.7741 0.9372 0.4584
18 P 0.7843 0.2157 0.5291
19 P 0.8815 0.1185 0.2836
20 P 0.9372 0.7741 0.5416
21 S 0.0520 0.3660 0.5686
22 S 0.1340 0.4480 0.9314
23 S 0.2111 0.7889 0.6766
24 S 0.2889 0.7111 0.1766
25 S 0.3660 0.0520 0.4314
26 S 0.4480 0.1340 0.0686
27 S 0.5520 0.8660 0.9314
28 S 0.6340 0.9480 0.5686
29 S 0.7111 0.2889 0.8234
30 S 0.7889 0.2111 0.3234
31 S 0.8660 0.5520 0.0686
32 S 0.9480 0.6340 0.4314
33 Br 0.0281 0.9719 0.1807
34 Br 0.4719 0.5281 0.6807
35 Br 0.5281 0.4719 0.3193
36 Br 0.9719 0.0281 0.8193


Record 5
Density functional theory data (PBE) for an optimized crystal structure of CuP4S3Br.

Computed properties:
The value obtained for the total energy is -4.593 eV/atom.

Unit cell a=6.4316 b=9.3303 c=15.7074 alpha=98.53 beta=97.87 gamma=106.58
Fractional coordinates of all 36 atoms:
1 Cu 0.0054 0.3922 0.2086
2 Cu 0.3570 0.1594 0.0835
3 Cu 0.6430 0.8406 0.9165
4 Cu 0.9946 0.6078 0.7914
5 P 0.0128 0.3844 0.8235
6 P 0.1201 0.6845 0.6729
7 P 0.1369 0.0639 0.8069
8 P 0.1400 0.8595 0.5061
9 P 0.1500 0.9466 0.1214
10 P 0.1942 0.1849 0.9501
11 P 0.3503 0.6141 0.5913
12 P 0.4650 0.8433 0.6853
13 P 0.5350 0.1567 0.3147
14 P 0.6497 0.3859 0.4087
15 P 0.8058 0.8151 0.0499
16 P 0.8500 0.0534 0.8786
17 P 0.8600 0.1405 0.4939
18 P 0.8631 0.9361 0.1931
19 P 0.8799 0.3155 0.3271
20 P 0.9872 0.6156 0.1765
21 S 0.0785 0.2325 0.4118
22 S 0.1345 0.2419 0.7394
23 S 0.2207 0.4118 0.9452
24 S 0.2528 0.6695 0.4705
25 S 0.2793 0.7779 0.1594
26 S 0.4122 0.9963 0.6056
27 S 0.5878 0.0037 0.3944
28 S 0.7207 0.2221 0.8406
29 S 0.7472 0.3305 0.5295
30 S 0.7793 0.5882 0.0548
31 S 0.8655 0.7581 0.2606
32 S 0.9215 0.7675 0.5882
33 Br 0.2495 0.8061 0.9158
34 Br 0.3752 0.3850 0.1942
35 Br 0.6248 0.6150 0.8058
36 Br 0.7505 0.1939 0.0842


Record 6
Density functional theory data (PBE) for an optimized crystal structure of Cu6PS5Br.

Computed properties:
The offset from the most stable computed form comes out at 0.266 eV per formula unit.

Unit cell a=6.9262 b=6.9262 c=6.9262 alpha=60.00 beta=60.00 gamma=60.00
Fractional coordinates of all 13 atoms:
1 Cu 0.2307 0.2307 0.7693
2 Cu 0.2307 0.7693 0.2307
3 Cu 0.2307 0.7693 0.7693
4 Cu 0.7693 0.2307 0.2307
5 Cu 0.7693 0.2307 0.7693
6 Cu 0.7693 0.7693 0.2307
7 P 0.7500 0.7500 0.7500
8 S 0.0000 0.0000 0.0000
9 S 0.1179 0.6274 0.6274
10 S 0.6274 0.1179 0.6274
11 S 0.6274 0.6274 0.1179
12 S 0.6274 0.6274 0.6274
13 Br 0.2500 0.2500 0.2500


Record 7
Density functional theory data (PBE) for an optimized crystal structure of Tl2CuPbBr6.

Computed properties:
The value obtained for the total energy is -2.860 eV/atom.

Unit cell a=7.7663 b=7.7663 c=7.7663 alpha=60.00 beta=60.00 gamma=60.00
Fractional coordinates of all 10 atoms:
1 Tl 0.2500 0.2500 0.2500
2 Tl 0.7500 0.7500 0.7500
3 Cu 0.0000 0.0000 0.0000
4 Pb 0.5000 0.5000 0.5000
5 Br 0.2359 0.2359 0.7641
6 Br 0.2359 0.7641 0.2359
7 Br 0.2359 0.7641 0.7641
8 Br 0.7641 0.2359 0.2359
9 Br 0.7641 0.2359 0.7641
10 Br 0.7641 0.7641 0.2359


Record 8
Density functional theory data (PBE) for an optimized crystal structure of Tl2CuPdBr6.

Computed properties:
The value obtained for the total energy is -2.871 eV/atom.

Unit cell a=7.2054 b=7.3522 c=12.8370 alpha=90.00 beta=123.30 gamma=90.00
Fractional coordinates of all 20 atoms:
1 Tl 0.2361 0.0473 0.2494
2 Tl 0.2361 0.4527 0.7494
3 Tl 0.7639 0.5473 0.2506
4 Tl 0.7639 0.9527 0.7506
5 Cu 0.0000 0.0000 0.5000
6 Cu 0.0000 0.5000 0.0000
7 Pd 0.5000 0.0000 0.0000
8 Pd 0.5000 0.5000 0.5000
9 Br 0.1982 0.2153 0.9790
10 Br 0.1982 0.2847 0.4790
11 Br 0.2507 0.7032 0.9830
12 Br 0.2507 0.7968 0.4830
13 Br 0.3028 0.5088 0.2645
14 Br 0.3028 0.9912 0.7645
15 Br 0.6972 0.0088 0.2355
16 Br 0.6972 0.4912 0.7355
17 Br 0.7493 0.2032 0.5170
18 Br 0.7493 0.2968 0.0170
19 Br 0.8018 0.7153 0.5210
20 Br 0.8018 0.7847 0.0210


Record 9
Density functional theory data (PBE) for an optimized crystal structure of PmCuBr.

Computed properties:
The value obtained for the total energy is -4.342 eV/atom.

Unit cell a=4.1211 b=4.1211 c=11.3326 alpha=91.38 beta=91.38 gamma=60.55
Fractional coordinates of all 6 atoms:
1 Pm 0.0204 0.0204 0.3298
2 Pm 0.9796 0.9796 0.6702
3 Cu 0.3333 0.3333 0.4991
4 Cu 0.6667 0.6667 0.5009
5 Br 0.3200 0.3200 0.8382
6 Br 0.6800 0.6800 0.1618


Record 10
Density functional theory data (PBE) for an optimized crystal structure of Tl2CuPtBr6.

Computed properties:
The value obtained for the total energy is -2.913 eV/atom.

Unit cell a=7.3622 b=7.3622 c=7.3622 alpha=60.00 beta=60.00 gamma=60.00
Fractional coordinates of all 10 atoms:
1 Tl 0.2500 0.2500 0.2500
2 Tl 0.7500 0.7500 0.7500
3 Cu 0.0000 0.0000 0.0000
4 Pt 0.5000 0.5000 0.5000
5 Br 0.2517 0.2517 0.7483
6 Br 0.2517 0.7483 0.2517
7 Br 0.2517 0.7483 0.7483
8 Br 0.7483 0.2517 0.2517
9 Br 0.7483 0.2517 0.7483
10 Br 0.7483 0.7483 0.2517


Record 11
Density functional theory data (PBE) for an optimized crystal structure of Rb3CuBr6.

Computed properties:
The value obtained for the total energy is -2.678 eV/atom.

Unit cell a=8.0669 b=8.0669 c=8.0669 alpha=60.00 beta=60.00 gamma=60.00
Fractional coordinates of all 10 atoms:
1 Rb 0.0000 0.0000 0.0000
2 Rb 0.2500 0.2500 0.2500
3 Rb 0.7500 0.7500 0.7500
4 Cu 0.5000 0.5000 0.5000
5 Br 0.2789 0.2789 0.7211
6 Br 0.2789 0.7211 0.2789
7 Br 0.2789 0.7211 0.7211
8 Br 0.7211 0.2789 0.2789
9 Br 0.7211 0.2789 0.7211
10 Br 0.7211 0.7211 0.2789


Record 12
Density functional theory data (PBE) for an optimized crystal structure of Rb3Tm2Cu4Br13.

Computed properties:
The value obtained for the total energy is -3.467 eV/atom.

Unit cell a=11.1039 b=11.1039 c=11.1039 alpha=90.00 beta=90.00 gamma=90.00
Fractional coordinates of all 44 atoms:
1 Rb 0.2500 0.2500 0.7500
2 Rb 0.2500 0.7500 0.2500
3 Rb 0.2500 0.7500 0.7500
4 Rb 0.7500 0.2500 0.2500
5 Rb 0.7500 0.2500 0.7500
6 Rb 0.7500 0.7500 0.2500
7 Tm 0.0000 0.0000 0.0000
8 Tm 0.0000 0.5000 0.5000
9 Tm 0.5000 0.0000 0.5000
10 Tm 0.5000 0.5000 0.0000
11 Cu 0.1224 0.1224 0.3776
12 Cu 0.1224 0.3776 0.1224
13 Cu 0.3776 0.1224 0.1224
14 Cu 0.3776 0.3776 0.3776
15 Cu 0.6224 0.6224 0.6224
16 Cu 0.6224 0.8776 0.8776
17 Cu 0.8776 0.6224 0.8776
18 Cu 0.8776 0.8776 0.6224
19 Br 0.0159 0.2482 0.9757
20 Br 0.0159 0.2518 0.5243
21 Br 0.0243 0.5159 0.7482
22 Br 0.0243 0.9841 0.7518
23 Br 0.2482 0.5243 0.4841
24 Br 0.2482 0.9757 0.0159
25 Br 0.2500 0.2500 0.2500
26 Br 0.2518 0.5243 0.0159
27 Br 0.2518 0.9757 0.4841
28 Br 0.4757 0.5159 0.7518
29 Br 0.4757 0.9841 0.7482
30 Br 0.4841 0.2482 0.5243
31 Br 0.4841 0.2518 0.9757
32 Br 0.5159 0.7482 0.0243
33 Br 0.5159 0.7518 0.4757
34 Br 0.5243 0.0159 0.2518
35 Br 0.5243 0.4841 0.2482
36 Br 0.7482 0.0243 0.5159
37 Br 0.7482 0.4757 0.9841
38 Br 0.7500 0.7500 0.7500
39 Br 0.7518 0.0243 0.9841
40 Br 0.7518 0.4757 0.5159
41 Br 0.9757 0.0159 0.2482
42 Br 0.9757 0.4841 0.2518
43 Br 0.9841 0.7482 0.4757
44 Br 0.9841 0.7518 0.0243